1.
! Be2AgHg (PBE, relaxed); values from VASP
&SYSTEM
  ibrav = 0, nat = 4, ntyp = 3
/
ATOMIC_SPECIES
Be 9.01 Be.upf
Ag 107.87 Ag.upf
Hg 200.59 Hg.upf
CELL_PARAMETERS angstrom
-0.048 -0.297 2.963
2.761 -1.532 -0.109
5.654 3.655 0.457
ATOMIC_POSITIONS crystal
Be 0.000 0.468 0.531
Be 0.000 0.032 0.969
Ag 0.500 0.750 0.750
Hg 0.500 0.250 0.250
! density: 9.66 g/cm³
! energy of formation: 334 meV/atom
! total moment: 0.00 Bohr magnetons per cell
! Fermi-level density of states: 0.22 states/eV/atom



2.
! Dy5Y4Er2 (PBE, relaxed); values from VASP
&SYSTEM
  ibrav = 0, nat = 11, ntyp = 3
/
ATOMIC_SPECIES
Y 88.91 Y.upf
Dy 162.50 Dy.upf
Er 167.26 Er.upf
CELL_PARAMETERS angstrom
-3.165 0.929 1.173
-3.763 -6.440 -5.054
4.515 -4.745 10.715
ATOMIC_POSITIONS crystal
Y 0.000 0.692 0.000
Y 0.000 0.308 0.000
Y 0.402 0.402 0.804
Y 0.598 0.598 0.196
Dy 0.146 0.947 0.292
Dy 0.500 0.000 0.000
Dy 0.854 0.053 0.708
Dy 0.854 0.656 0.708
Dy 0.146 0.344 0.292
Er 0.269 0.269 0.537
Er 0.731 0.731 0.463
! polymorph energy (0 for the lowest one): 0.130 eV/atom
! density: 6.82 g/cm³
! energy of formation: 256 meV/atom
! total moment: 0.00 Bohr magnetons per cell
! Fermi-level density of states: 1.61 states/eV/atom